Record 1
A plane-wave DFT calculation with GGA-PBE was carried out for a relaxed Er2MgTe4 crystal.

As for the space group: C2/m. As for the energy relative to the elements, uncorrected: -829 kJ/mol of formula units. Its total energy is -4.55 eV per atom. As for the size of the total moment: 0.00 μB/f.u.

```
Er2MgTe4
1.0
4.303 0.000 0.000
0.000 7.497 -0.072
-2.151 -3.726 7.027
Te Er Mg
4 2 1
direct
0.628 0.286 0.256
0.884 0.208 0.767
0.116 0.792 0.233
0.372 0.714 0.744
0.260 0.246 0.521
0.740 0.754 0.479
0.000 0.000 0.000
```

=====

Record 2
A plane-wave DFT calculation with GGA-PBE was carried out for a relaxed Er3MgTe4 crystal.

As for the space group: Pmn2_1. As for the energy relative to the elements, uncorrected: -751 kJ/mol of formula units. The calculation puts the density of states at the Fermi level at 0.52 states/eV per atom. Its total energy is -4.45 eV per atom. As for the size of the total moment: 0.00 μB/f.u.

```
Er3MgTe4
1.0
6.057 0.000 0.000
0.000 8.783 0.000
0.000 0.000 9.858
Te Er Mg
8 6 2
direct
0.565 0.680 0.303
0.564 0.082 0.000
0.065 0.757 0.000
0.565 0.680 0.697
0.065 0.320 0.197
0.565 0.243 0.500
0.065 0.320 0.803
0.064 0.918 0.500
0.065 0.275 0.500
0.565 0.355 0.200
0.565 0.355 0.800
0.065 0.645 0.300
0.565 0.725 0.000
0.065 0.645 0.700
0.062 0.081 0.000
0.562 0.919 0.500
```

=====

Record 3
A plane-wave DFT calculation with GGA-PBE was carried out for a relaxed ErMg2Te4 crystal.

As for the space group: Cmcm. As for the energy relative to the elements, uncorrected: -598 kJ/mol of formula units. The calculation puts the density of states at the Fermi level at 0.40 states/eV per atom. Its total energy is -3.79 eV per atom. As for the size of the total moment: 0.00 μB/f.u.

```
ErMg2Te4
1.0
-3.678 -1.668 0.696
4.434 -5.470 -1.743
3.367 -1.669 13.799
Mg Te Er
4 8 2
direct
0.866 0.732 0.571
0.134 0.268 0.429
0.134 0.268 0.071
0.866 0.732 0.929
0.500 0.000 0.500
0.045 0.089 0.250
0.216 0.432 0.883
0.500 0.000 0.000
0.216 0.432 0.617
0.784 0.568 0.383
0.784 0.568 0.117
0.955 0.911 0.750
0.382 0.765 0.250
0.618 0.235 0.750
```

=====

What is the size of the total moment in the first record?
0.00 μB/f.u.

=====

Which value of size of the total moment does entry 1 give?
0.00 μB/f.u.